First-principles (PBE) data for an optimized crystal structure of Be2AlCo, as listed in the Alexandria database.

Unit cell a=3.3611 b=3.3611 c=7.1183 alpha=90.00 beta=90.00 gamma=90.00
Last column: nearest neighbours and their distance in Å.
Fractional coordinates of all 8 atoms:
Be 0.0000 0.5000 0.2500  4 Be 2.38, 4 Co 2.45, 4 Al 2.45
Be 0.0000 0.5000 0.7500  4 Be 2.38, 4 Co 2.45, 4 Al 2.45
Be 0.5000 0.0000 0.2500  4 Be 2.38, 4 Co 2.45, 4 Al 2.45
Be 0.5000 0.0000 0.7500  4 Be 2.38, 4 Co 2.45, 4 Al 2.45
Al 0.0000 0.0000 0.0000  4 Co 2.38, 8 Be 2.45
Al 0.5000 0.5000 0.5000  4 Co 2.38, 8 Be 2.45
Co 0.0000 0.0000 0.5000  4 Al 2.38, 8 Be 2.45
Co 0.5000 0.5000 0.0000  4 Al 2.38, 8 Be 2.45

Values from the calculation:
formation energy	-265	meV/atom
calculated density	4.3	g/cm3
uncorrected energy	-4.84	eV/atom
D(E_F)	3.01	states/eV per cell